# BaAc12Ge6, optimized geometry, DFT PBE
data_BaAc12Ge6
_cell_length_a 9.4066
_cell_length_b 9.4066
_cell_length_c 9.4066
_cell_angle_alpha 103.23
_cell_angle_beta 103.23
_cell_angle_gamma 103.23
_symmetry_space_group_name_H-M 'P 1'
_symmetry_Int_Tables_number 1
loop_
_symmetry_equiv_pos_as_xyz
'x,y,z'
loop_
_atom_site_label
_atom_site_fract_x
_atom_site_fract_y
_atom_site_fract_z
Ac1 0.4532 0.4532 0.1807
Ac2 0.1268 0.8732 0.5000
Ac3 0.1268 0.5000 0.8732
Ac4 0.5000 0.1268 0.8732
Ac5 0.4532 0.1807 0.4532
Ac6 0.8193 0.5468 0.5468
Ac7 0.5468 0.5468 0.8193
Ac8 0.5468 0.8193 0.5468
Ac9 0.5000 0.8732 0.1268
Ac10 0.1807 0.4532 0.4532
Ac11 0.8732 0.5000 0.1268
Ac12 0.8732 0.1268 0.5000
Ge1 0.6875 0.2438 0.2438
Ge2 0.3125 0.7562 0.7562
Ge3 0.2438 0.6875 0.2438
Ge4 0.7562 0.3125 0.7562
Ge5 0.2438 0.2438 0.6875
Ge6 0.7562 0.7562 0.3125
Ba1 0.0000 0.0000 0.0000
# M_tot, μB/cell: 0.0
# Energy of formation from the pure elements, kJ/mol of formula units: -710
# Symmetry: R-3m

# KTl2PtCl6, optimized geometry, DFT PBE
data_KTl2PtCl6
_cell_length_a 7.1705
_cell_length_b 7.1705
_cell_length_c 15.6072
_cell_angle_alpha 76.72
_cell_angle_beta 76.72
_cell_angle_gamma 60.00
_symmetry_space_group_name_H-M 'P 1'
_symmetry_Int_Tables_number 1
loop_
_symmetry_equiv_pos_as_xyz
'x,y,z'
loop_
_atom_site_label
_atom_site_fract_x
_atom_site_fract_y
_atom_site_fract_z
Cl1 0.6302 0.1468 0.5928
Cl2 0.1918 0.1918 0.9074
Cl3 0.8082 0.2911 0.0926
Cl4 0.1468 0.6302 0.5928
Cl5 0.2911 0.8082 0.0926
Cl6 0.1918 0.7089 0.9074
Cl7 0.8532 0.3698 0.4072
Cl8 0.8082 0.8082 0.0926
Cl9 0.3698 0.3698 0.4072
Cl10 0.3698 0.8532 0.4072
Cl11 0.7089 0.1918 0.9074
Cl12 0.6302 0.6302 0.5928
Tl1 0.3129 0.3129 0.0612
Tl2 0.6871 0.6871 0.9388
Tl3 0.1458 0.1458 0.5626
Tl4 0.8542 0.8542 0.4374
K1 0.4155 0.4155 0.7535
K2 0.5845 0.5845 0.2465
Pt1 0.5000 0.5000 0.5000
Pt2 0.0000 0.0000 0.0000
# M_tot, μB/cell: 2.1
# Formation energy without anion corrections, eV/atom: -0.930
# Symmetry: R-3m

# Ti2HgRh, optimized geometry, DFT PBE
data_Ti2HgRh
_cell_length_a 7.2907
_cell_length_b 7.2907
_cell_length_c 5.8445
_cell_angle_alpha 51.41
_cell_angle_beta 51.41
_cell_angle_gamma 90.00
_symmetry_space_group_name_H-M 'P 1'
_symmetry_Int_Tables_number 1
loop_
_symmetry_equiv_pos_as_xyz
'x,y,z'
loop_
_atom_site_label
_atom_site_fract_x
_atom_site_fract_y
_atom_site_fract_z
Rh1 0.2500 0.7500 0.5000
Rh2 0.5000 0.5000 0.0000
Ti1 0.1687 0.6250 0.2500
Ti2 0.3750 0.4187 0.7500
Ti3 0.8750 0.8313 0.7500
Ti4 0.5813 0.1250 0.2500
Hg1 0.7500 0.2500 0.5000
Hg2 0.0000 0.0000 0.0000
# M_tot, μB/cell: 0.0
# Energy of formation from the pure elements, kJ/mol of formula units: -9
# Symmetry: I-42d

# Rb2CdGe, optimized geometry, DFT PBE
data_Rb2CdGe
_cell_length_a 6.1790
_cell_length_b 6.1790
_cell_length_c 6.1790
_cell_angle_alpha 60.00
_cell_angle_beta 60.00
_cell_angle_gamma 60.00
_symmetry_space_group_name_H-M 'P 1'
_symmetry_Int_Tables_number 1
loop_
_symmetry_equiv_pos_as_xyz
'x,y,z'
loop_
_atom_site_label
_atom_site_fract_x
_atom_site_fract_y
_atom_site_fract_z
Rb1 0.2500 0.2500 0.2500
Rb2 0.7500 0.7500 0.7500
Cd1 0.5000 0.5000 0.5000
Ge1 0.0000 0.0000 0.0000
# M_tot, μB/cell: 2.0
# Energy of formation from the pure elements, kJ/mol of formula units: 93
# Symmetry: Fm-3m

# GdErBeCu, optimized geometry, DFT PBE
data_GdErBeCu
_cell_length_a 4.8718
_cell_length_b 4.8718
_cell_length_c 4.8718
_cell_angle_alpha 60.00
_cell_angle_beta 60.00
_cell_angle_gamma 60.00
_symmetry_space_group_name_H-M 'P 1'
_symmetry_Int_Tables_number 1
loop_
_symmetry_equiv_pos_as_xyz
'x,y,z'
loop_
_atom_site_label
_atom_site_fract_x
_atom_site_fract_y
_atom_site_fract_z
Gd1 0.5000 0.5000 0.5000
Be1 0.2500 0.2500 0.2500
Cu1 0.7500 0.7500 0.7500
Er1 0.0000 0.0000 0.0000
# M_tot, μB/cell: 7.1
# Energy of formation from the pure elements, kJ/mol of formula units: -22
# Symmetry: F-43m

# MgCu2Ru, optimized geometry, DFT PBE
data_MgCu2Ru
_cell_length_a 2.8671
_cell_length_b 2.8671
_cell_length_c 6.8673
_cell_angle_alpha 90.00
_cell_angle_beta 90.00
_cell_angle_gamma 90.01
_symmetry_space_group_name_H-M 'P 1'
_symmetry_Int_Tables_number 1
loop_
_symmetry_equiv_pos_as_xyz
'x,y,z'
loop_
_atom_site_label
_atom_site_fract_x
_atom_site_fract_y
_atom_site_fract_z
Mg1 0.5000 0.5000 0.2500
Ru1 0.5000 0.5000 0.7500
Cu1 0.0000 0.0000 0.5099
Cu2 0.0000 0.0000 0.9901
# M_tot, μB/cell: 1.0
# Energy of formation from the pure elements, kJ/mol of formula units: 68
# Symmetry: P4/mmm

# Si2AgW, optimized geometry, DFT PBE
data_Si2AgW
_cell_length_a 3.4369
_cell_length_b 3.4369
_cell_length_c 5.2086
_cell_angle_alpha 90.00
_cell_angle_beta 90.00
_cell_angle_gamma 90.00
_symmetry_space_group_name_H-M 'P 1'
_symmetry_Int_Tables_number 1
loop_
_symmetry_equiv_pos_as_xyz
'x,y,z'
loop_
_atom_site_label
_atom_site_fract_x
_atom_site_fract_y
_atom_site_fract_z
W1 0.0000 0.0000 0.4584
Ag1 0.5000 0.5000 0.7835
Si1 0.0000 0.0000 0.9807
Si2 0.5000 0.5000 0.2774
# M_tot, μB/cell: 0.0
# Formation energy without anion corrections, eV/atom: 0.221
# Energy above the most stable polymorph in this dataset, meV per atom: 7.8
# Symmetry: P4mm

# Li2ZnTeH, optimized geometry, DFT PBE
data_Li2ZnTeH
_cell_length_a 5.3580
_cell_length_b 3.9434
_cell_length_c 5.3580
_cell_angle_alpha 90.00
_cell_angle_beta 90.00
_cell_angle_gamma 90.00
_symmetry_space_group_name_H-M 'P 1'
_symmetry_Int_Tables_number 1
loop_
_symmetry_equiv_pos_as_xyz
'x,y,z'
loop_
_atom_site_label
_atom_site_fract_x
_atom_site_fract_y
_atom_site_fract_z
Li1 0.5000 0.0000 0.0000
Li2 0.0000 0.0000 0.5000
Te1 0.0000 0.0000 0.0000
H1 0.0000 0.5000 0.0000
Zn1 0.5000 0.5000 0.5000
# M_tot, μB/cell: 0.0
# Energy above the most stable polymorph in this dataset, meV per atom: 374.3
# Symmetry: P4/mmm